1.
The following is a DFT calculation (GGA-PBEsol) of a relaxed structure of ZrRh3.

```
ZrRh3
1.0
3.901 0.000 0.000
0.000 3.901 0.000
0.000 0.000 3.901
Rh Zr
3 1
Direct
0.500 0.500 0.000
0.000 0.500 0.500
0.500 0.000 0.500
0.000 0.000 0.000
```

- magnetization (μB/cell) = 0.00
- uncorrected energy (Ry/atom) = -0.667
- crystal system = cubic

=====

2.
The following is a DFT calculation (GGA-PBEsol) of a relaxed structure of TcSbBr2.

```
TcSbBr2
1.0
3.050 0.000 0.000
1.525 2.641 0.000
1.525 0.880 11.857
Sb Br Tc
1 2 1
Direct
0.500 0.500 0.500
0.066 0.066 0.802
0.934 0.934 0.198
0.000 0.000 0.000
```

- magnetization (μB/cell) = 0.00
- E_form (uncorrected) (meV per atom) = 490
- crystal system = trigonal

=====

3.
The following is a DFT calculation (GGA-PBEsol) of a relaxed structure of KMgGaNi2.

```
KMgGaNi2
1.0
4.523 0.000 0.000
0.000 4.523 0.000
0.000 0.000 5.200
Ni Mg K Ga
2 1 1 1
Direct
0.500 0.000 0.000
0.000 0.500 0.000
0.500 0.500 0.500
0.000 0.000 0.000
0.000 0.000 0.500
```

- magnetization (μB/cell) = 0.00
- uncorrected energy (Ry/atom) = -0.154
- crystal system = tetragonal

=====

4.
The following is a DFT calculation (GGA-PBEsol) of a relaxed structure of BeFeAu2.

```
BeFeAu2
1.0
-1.928 -0.683 1.963
-0.849 -2.187 -1.595
4.478 -3.943 3.026
Be Au Fe
1 2 1
Direct
0.500 0.500 0.000
0.000 0.000 0.778
0.000 0.000 0.222
0.500 0.500 0.500
```

- magnetization (μB/cell) = 2.86
- uncorrected energy (Ry/atom) = -0.382
- crystal system = tetragonal

=====

5.
The following is a DFT calculation (GGA-PBEsol) of a relaxed structure of ScCrMo3.

```
ScCrMo3
1.0
-0.809 -1.722 4.048
3.458 -2.793 -0.497
2.719 3.040 1.836
Mo Cr Sc
3 1 1
Direct
0.000 0.500 0.000
0.500 0.000 0.000
0.000 0.000 0.500
0.000 0.000 0.000
0.500 0.500 0.500
```

- magnetization (μB/cell) = 0.00
- uncorrected energy (Ry/atom) = -0.699
- crystal system = cubic

=====

6.
The following is a DFT calculation (GGA-PBEsol) of a relaxed structure of Li4BeAu.

```
Li4BeAu
1.0
4.759 0.000 0.000
2.379 4.121 0.000
2.379 1.374 3.886
Au Be Li
1 1 4
Direct
0.750 0.750 0.750
0.000 0.000 0.000
0.376 0.376 0.873
0.376 0.873 0.376
0.873 0.376 0.376
0.376 0.376 0.376
```

- magnetization (μB/cell) = 0.00
- uncorrected energy (Ry/atom) = -0.188
- crystal system = cubic

=====

7.
The following is a DFT calculation (GGA-PBEsol) of a relaxed structure of MgSc2Re.

```
MgSc2Re
1.0
3.266 0.000 0.000
0.000 3.266 0.000
0.000 0.000 7.548
Sc Re Mg
2 1 1
Direct
0.000 0.000 0.300
0.000 0.000 0.700
0.500 0.500 0.500
0.500 0.500 0.000
```

- magnetization (μB/cell) = 0.00
- uncorrected energy (Ry/atom) = -0.526
- crystal system = tetragonal

=====

8.
The following is a DFT calculation (GGA-PBEsol) of a relaxed structure of ZrNb2VC4.

```
ZrNb2VC4
1.0
-3.072 -0.251 0.622
-0.987 -0.250 2.975
-2.060 9.996 1.818
C Nb Zr V
4 2 1 1
Direct
0.252 0.252 0.244
0.501 0.501 0.496
0.003 0.003 0.990
0.743 0.743 0.770
0.877 0.877 0.370
0.628 0.628 0.115
0.122 0.122 0.635
0.373 0.373 0.881
```

- magnetization (μB/cell) = 0.00
- uncorrected energy (Ry/atom) = -0.769
- crystal system = trigonal